--- a ---
SmBeRe: relaxed, PBE-GGA. Values from VASP.

The structure in Quantum ESPRESSO input format:
```
&SYSTEM
  ibrav = 0, nat = 3, ntyp = 3
/
ATOMIC_SPECIES
Sm 150.36 Sm.upf
Be 9.01 Be.upf
Re 186.21 Re.upf
CELL_PARAMETERS angstrom
0.000 3.262 3.262
3.262 0.000 3.262
3.262 3.262 0.000
ATOMIC_POSITIONS crystal
Sm 0.000 0.000 0.000
Be 0.750 0.750 0.750
Re 0.250 0.250 0.250
```

=====

--- b ---
SmBeRe: relaxed, PBE-GGA. Values from VASP.

The structure in Quantum ESPRESSO input format:
```
&SYSTEM
  ibrav = 0, nat = 3, ntyp = 3
/
ATOMIC_SPECIES
Sm 150.36 Sm.upf
Be 9.01 Be.upf
Re 186.21 Re.upf
CELL_PARAMETERS angstrom
0.000 3.035 3.035
3.035 0.000 3.035
3.035 3.035 0.000
ATOMIC_POSITIONS crystal
Sm 0.000 0.000 0.000
Be 0.750 0.750 0.750
Re 0.500 0.500 0.500
```

=====

The winner here is b, beating the second structure by 1081 meV/atom.

=====

--- a ---
TaBeReSn: relaxed, PBE-GGA. Values from VASP.

The structure in Quantum ESPRESSO input format:
```
&SYSTEM
  ibrav = 0, nat = 4, ntyp = 4
/
ATOMIC_SPECIES
Ta 180.95 Ta.upf
Be 9.01 Be.upf
Re 186.21 Re.upf
Sn 118.71 Sn.upf
CELL_PARAMETERS angstrom
0.000 3.165 3.165
3.165 0.000 3.165
3.165 3.165 0.000
ATOMIC_POSITIONS crystal
Ta 0.000 0.000 0.000
Be 0.750 0.750 0.750
Re 0.250 0.250 0.250
Sn 0.500 0.500 0.500
```

=====

--- b ---
TaBeReSn: relaxed, PBE-GGA. Values from VASP.

The structure in Quantum ESPRESSO input format:
```
&SYSTEM
  ibrav = 0, nat = 4, ntyp = 4
/
ATOMIC_SPECIES
Ta 180.95 Ta.upf
Be 9.01 Be.upf
Re 186.21 Re.upf
Sn 118.71 Sn.upf
CELL_PARAMETERS angstrom
0.000 3.160 3.160
3.160 0.000 3.160
3.160 3.160 0.000
ATOMIC_POSITIONS crystal
Ta 0.000 0.000 0.000
Be 0.750 0.750 0.750
Re 0.500 0.500 0.500
Sn 0.250 0.250 0.250
```

=====

The winner here is a, beating the second structure by 301 meV/atom.

=====

--- a ---
BeZnReTc: relaxed, PBE-GGA. Values from VASP.

The structure in Quantum ESPRESSO input format:
```
&SYSTEM
  ibrav = 0, nat = 4, ntyp = 4
/
ATOMIC_SPECIES
Be 9.01 Be.upf
Zn 65.41 Zn.upf
Re 186.21 Re.upf
Tc 98.00 Tc.upf
CELL_PARAMETERS angstrom
0.000 2.973 2.973
2.973 0.000 2.973
2.973 2.973 0.000
ATOMIC_POSITIONS crystal
Be 0.000 0.000 0.000
Zn 0.750 0.750 0.750
Re 0.250 0.250 0.250
Tc 0.500 0.500 0.500
```

=====

--- b ---
BeZnReTc: relaxed, PBE-GGA. Values from VASP.

The structure in Quantum ESPRESSO input format:
```
&SYSTEM
  ibrav = 0, nat = 4, ntyp = 4
/
ATOMIC_SPECIES
Be 9.01 Be.upf
Zn 65.41 Zn.upf
Re 186.21 Re.upf
Tc 98.00 Tc.upf
CELL_PARAMETERS angstrom
0.000 2.945 2.945
2.945 0.000 2.945
2.945 2.945 0.000
ATOMIC_POSITIONS crystal
Be 0.000 0.000 0.000
Zn 0.500 0.500 0.500
Re 0.750 0.750 0.750
Tc 0.250 0.250 0.250
```

=====

The winner here is a, beating the second structure by 296 meV/atom.

=====

--- a ---
TmBeRe: relaxed, PBE-GGA. Values from VASP.

The structure in Quantum ESPRESSO input format:
```
&SYSTEM
  ibrav = 0, nat = 3, ntyp = 3
/
ATOMIC_SPECIES
Tm 168.93 Tm.upf
Be 9.01 Be.upf
Re 186.21 Re.upf
CELL_PARAMETERS angstrom
0.000 2.961 2.961
2.961 0.000 2.961
2.961 2.961 0.000
ATOMIC_POSITIONS crystal
Tm 0.000 0.000 0.000
Be 0.750 0.750 0.750
Re 0.500 0.500 0.500
```

=====

--- b ---
TmBeRe: relaxed, PBE-GGA. Values from VASP.

The structure in Quantum ESPRESSO input format:
```
&SYSTEM
  ibrav = 0, nat = 3, ntyp = 3
/
ATOMIC_SPECIES
Tm 168.93 Tm.upf
Be 9.01 Be.upf
Re 186.21 Re.upf
CELL_PARAMETERS angstrom
0.000 3.182 3.182
3.182 0.000 3.182
3.182 3.182 0.000
ATOMIC_POSITIONS crystal
Tm 0.000 0.000 0.000
Be 0.750 0.750 0.750
Re 0.250 0.250 0.250
```

=====

The winner here is a, beating the second structure by 1111 meV/atom.

=====

--- a ---
UBeRe: relaxed, PBE-GGA. Values from VASP.

The structure in Quantum ESPRESSO input format:
```
&SYSTEM
  ibrav = 0, nat = 3, ntyp = 3
/
ATOMIC_SPECIES
U 238.03 U.upf
Be 9.01 Be.upf
Re 186.21 Re.upf
CELL_PARAMETERS angstrom
0.000 2.931 2.931
2.931 0.000 2.931
2.931 2.931 0.000
ATOMIC_POSITIONS crystal
U 0.000 0.000 0.000
Be 0.750 0.750 0.750
Re 0.500 0.500 0.500
```

=====

--- b ---
UBeRe: relaxed, PBE-GGA. Values from VASP.

The structure in Quantum ESPRESSO input format:
```
&SYSTEM
  ibrav = 0, nat = 3, ntyp = 3
/
ATOMIC_SPECIES
U 238.03 U.upf
Be 9.01 Be.upf
Re 186.21 Re.upf
CELL_PARAMETERS angstrom
0.000 3.077 3.077
3.077 0.000 3.077
3.077 3.077 0.000
ATOMIC_POSITIONS crystal
U 0.000 0.000 0.000
Be 0.250 0.250 0.250
Re 0.750 0.750 0.750
```

=====

The winner here is a, beating the second structure by 783 meV/atom.

=====

--- a ---
YBeRe: relaxed, PBE-GGA. Values from VASP.

The structure in Quantum ESPRESSO input format:
```
&SYSTEM
  ibrav = 0, nat = 3, ntyp = 3
/
ATOMIC_SPECIES
Y 88.91 Y.upf
Be 9.01 Be.upf
Re 186.21 Re.upf
CELL_PARAMETERS angstrom
0.000 3.100 3.100
3.100 0.000 3.100
3.100 3.100 0.000
ATOMIC_POSITIONS crystal
Y 0.000 0.000 0.000
Be 0.500 0.500 0.500
Re 0.750 0.750 0.750
```

=====

--- b ---
YBeRe: relaxed, PBE-GGA. Values from VASP.

The structure in Quantum ESPRESSO input format:
```
&SYSTEM
  ibrav = 0, nat = 3, ntyp = 3
/
ATOMIC_SPECIES
Y 88.91 Y.upf
Be 9.01 Be.upf
Re 186.21 Re.upf
CELL_PARAMETERS angstrom
0.000 3.224 3.224
3.224 0.000 3.224
3.224 3.224 0.000
ATOMIC_POSITIONS crystal
Y 0.000 0.000 0.000
Be 0.750 0.750 0.750
Re 0.250 0.250 0.250
```

=====

The winner here is a, beating the second structure by 637 meV/atom.

=====

--- a ---
TaBeSb: relaxed, PBE-GGA. Values from VASP.

The structure in Quantum ESPRESSO input format:
```
&SYSTEM
  ibrav = 0, nat = 3, ntyp = 3
/
ATOMIC_SPECIES
Ta 180.95 Ta.upf
Be 9.01 Be.upf
Sb 121.76 Sb.upf
CELL_PARAMETERS angstrom
0.000 3.151 3.151
3.151 0.000 3.151
3.151 3.151 0.000
ATOMIC_POSITIONS crystal
Ta 0.000 0.000 0.000
Be 0.750 0.750 0.750
Sb 0.250 0.250 0.250
```

=====

--- b ---
TaBeSb: relaxed, PBE-GGA. Values from VASP.

The structure in Quantum ESPRESSO input format:
```
&SYSTEM
  ibrav = 0, nat = 3, ntyp = 3
/
ATOMIC_SPECIES
Ta 180.95 Ta.upf
Be 9.01 Be.upf
Sb 121.76 Sb.upf
CELL_PARAMETERS angstrom
0.000 2.989 2.989
2.989 0.000 2.989
2.989 2.989 0.000
ATOMIC_POSITIONS crystal
Ta 0.000 0.000 0.000
Be 0.750 0.750 0.750
Sb 0.500 0.500 0.500
```

=====

The winner here is b, beating the second structure by 162 meV/atom.

=====

--- a ---
TaBeSbW: relaxed, PBE-GGA. Values from VASP.

The structure in Quantum ESPRESSO input format:
```
&SYSTEM
  ibrav = 0, nat = 4, ntyp = 4
/
ATOMIC_SPECIES
Ta 180.95 Ta.upf
Be 9.01 Be.upf
Sb 121.76 Sb.upf
W 183.84 W.upf
CELL_PARAMETERS angstrom
0.000 3.193 3.193
3.193 0.000 3.193
3.193 3.193 0.000
ATOMIC_POSITIONS crystal
Ta 0.000 0.000 0.000
Be 0.750 0.750 0.750
Sb 0.250 0.250 0.250
W 0.500 0.500 0.500
```

=====

--- b ---
TaBeSbW: relaxed, PBE-GGA. Values from VASP.

The structure in Quantum ESPRESSO input format:
```
&SYSTEM
  ibrav = 0, nat = 4, ntyp = 4
/
ATOMIC_SPECIES
Ta 180.95 Ta.upf
Be 9.01 Be.upf
Sb 121.76 Sb.upf
W 183.84 W.upf
CELL_PARAMETERS angstrom
0.000 3.200 3.200
3.200 0.000 3.200
3.200 3.200 0.000
ATOMIC_POSITIONS crystal
Ta 0.000 0.000 0.000
Be 0.750 0.750 0.750
Sb 0.500 0.500 0.500
W 0.250 0.250 0.250
```

=====

The winner here is b, beating the second structure by 107 meV/atom.

=====

--- a ---
TmBeSb: relaxed, PBE-GGA. Values from VASP.

The structure in Quantum ESPRESSO input format:
```
&SYSTEM
  ibrav = 0, nat = 3, ntyp = 3
/
ATOMIC_SPECIES
Tm 168.93 Tm.upf
Be 9.01 Be.upf
Sb 121.76 Sb.upf
CELL_PARAMETERS angstrom
0.000 3.395 3.395
3.395 0.000 3.395
3.395 3.395 0.000
ATOMIC_POSITIONS crystal
Tm 0.000 0.000 0.000
Be 0.750 0.750 0.750
Sb 0.250 0.250 0.250
```

=====

--- b ---
TmBeSb: relaxed, PBE-GGA. Values from VASP.

The structure in Quantum ESPRESSO input format:
```
&SYSTEM
  ibrav = 0, nat = 3, ntyp = 3
/
ATOMIC_SPECIES
Tm 168.93 Tm.upf
Be 9.01 Be.upf
Sb 121.76 Sb.upf
CELL_PARAMETERS angstrom
0.000 3.317 3.317
3.317 0.000 3.317
3.317 3.317 0.000
ATOMIC_POSITIONS crystal
Tm 0.000 0.000 0.000
Be 0.500 0.500 0.500
Sb 0.750 0.750 0.750
```

=====

The winner here is a, beating the second structure by 93 meV/atom.

=====

--- a ---
UBeSb: relaxed, PBE-GGA. Values from VASP.

The structure in Quantum ESPRESSO input format:
```
&SYSTEM
  ibrav = 0, nat = 3, ntyp = 3
/
ATOMIC_SPECIES
U 238.03 U.upf
Be 9.01 Be.upf
Sb 121.76 Sb.upf
CELL_PARAMETERS angstrom
0.000 3.418 3.418
3.418 0.000 3.418
3.418 3.418 0.000
ATOMIC_POSITIONS crystal
U 0.000 0.000 0.000
Be 0.750 0.750 0.750
Sb 0.250 0.250 0.250
```

=====

--- b ---
UBeSb: relaxed, PBE-GGA. Values from VASP.

The structure in Quantum ESPRESSO input format:
```
&SYSTEM
  ibrav = 0, nat = 3, ntyp = 3
/
ATOMIC_SPECIES
U 238.03 U.upf
Be 9.01 Be.upf
Sb 121.76 Sb.upf
CELL_PARAMETERS angstrom
0.000 3.149 3.149
3.149 0.000 3.149
3.149 3.149 0.000
ATOMIC_POSITIONS crystal
U 0.000 0.000 0.000
Be 0.750 0.750 0.750
Sb 0.500 0.500 0.500
```

=====

--- c ---
UBeSb: relaxed, PBE-GGA. Values from VASP.

The structure in Quantum ESPRESSO input format:
```
&SYSTEM
  ibrav = 0, nat = 3, ntyp = 3
/
ATOMIC_SPECIES
U 238.03 U.upf
Be 9.01 Be.upf
Sb 121.76 Sb.upf
CELL_PARAMETERS angstrom
0.000 3.359 3.359
3.359 0.000 3.359
3.359 3.359 0.000
ATOMIC_POSITIONS crystal
U 0.000 0.000 0.000
Be 0.500 0.500 0.500
Sb 0.750 0.750 0.750
```

=====

The winner here is b, beating the second structure by 488 meV/atom.

=====

--- a ---
ScBe2Tc2: relaxed, PBE-GGA. Values from VASP.

The structure in Quantum ESPRESSO input format:
```
&SYSTEM
  ibrav = 0, nat = 10, ntyp = 3
/
ATOMIC_SPECIES
Sc 44.96 Sc.upf
Be 9.01 Be.upf
Tc 98.00 Tc.upf
CELL_PARAMETERS angstrom
6.274 0.000 0.000
0.000 6.274 0.000
0.000 0.000 3.217
ATOMIC_POSITIONS crystal
Sc 0.000 0.000 0.000
Sc 0.500 0.500 0.000
Be 0.115 0.385 0.000
Be 0.385 0.885 0.000
Be 0.615 0.115 0.000
Be 0.885 0.615 0.000
Tc 0.172 0.672 0.500
Tc 0.328 0.172 0.500
Tc 0.672 0.828 0.500
Tc 0.828 0.328 0.500
```

=====

--- b ---
ScBe2Tc2: relaxed, PBE-GGA. Values from VASP.

The structure in Quantum ESPRESSO input format:
```
&SYSTEM
  ibrav = 0, nat = 5, ntyp = 3
/
ATOMIC_SPECIES
Sc 44.96 Sc.upf
Be 9.01 Be.upf
Tc 98.00 Tc.upf
CELL_PARAMETERS angstrom
-1.796 1.796 5.369
1.796 -1.796 5.369
1.796 1.796 -5.369
ATOMIC_POSITIONS crystal
Sc 0.000 0.000 0.000
Be 0.402 0.402 0.000
Be 0.598 0.598 0.000
Tc 0.250 0.750 0.500
Tc 0.750 0.250 0.500
```

=====

The winner here is a, beating the second structure by 136 meV/atom.

=====

--- a ---
ScUBe: relaxed, PBE-GGA. Values from VASP.

The structure in Quantum ESPRESSO input format:
```
&SYSTEM
  ibrav = 0, nat = 3, ntyp = 3
/
ATOMIC_SPECIES
Sc 44.96 Sc.upf
U 238.03 U.upf
Be 9.01 Be.upf
CELL_PARAMETERS angstrom
0.000 3.185 3.185
3.185 0.000 3.185
3.185 3.185 0.000
ATOMIC_POSITIONS crystal
Sc 0.000 0.000 0.000
U 0.750 0.750 0.750
Be 0.500 0.500 0.500
```

=====

--- b ---
ScUBe: relaxed, PBE-GGA. Values from VASP.

The structure in Quantum ESPRESSO input format:
```
&SYSTEM
  ibrav = 0, nat = 3, ntyp = 3
/
ATOMIC_SPECIES
Sc 44.96 Sc.upf
U 238.03 U.upf
Be 9.01 Be.upf
CELL_PARAMETERS angstrom
0.000 3.108 3.108
3.108 0.000 3.108
3.108 3.108 0.000
ATOMIC_POSITIONS crystal
Sc 0.000 0.000 0.000
U 0.500 0.500 0.500
Be 0.250 0.250 0.250
```

=====

The winner here is b, beating the second structure by 610 meV/atom.